! Li2CoRu (PBE, optimized geometry); values from VASP
&SYSTEM
  ibrav = 0, nat = 4, ntyp = 3
/
ATOMIC_SPECIES
Co 58.93 Co.upf
Li 6.94 Li.upf
Ru 101.07 Ru.upf
ATOMIC_POSITIONS crystal
Co 0.5000 0.5000 0.7500
Li 0.0000 0.0000 0.4979
Ru 0.5000 0.5000 0.2500
Li 0.0000 0.0000 0.0021
CELL_PARAMETERS angstrom
-2.2676 0.1981 -0.8431
-0.2067 -4.2689 -0.4468
-1.7596 -0.4003 4.6386
! ΔE to the lowest computed polymorph = 127 meV per atom
! E_form = 0.25 eV per atom
! D(E_F) = 3.21 states/eV per cell